First-principles (PBE-GGA) data for TlSiAs2 after structural relaxation, as listed in the Alexandria database.

The structure in CIF format:
```
data_TlSiAs2
_chemical_formula_sum 'Tl2 Si2 As4'
_symmetry_space_group_name_H-M 'I m m m'
_symmetry_Int_Tables_number 71
_symmetry_space_group_name_Hall '-I 2 2'
_cell_length_a 3.476
_cell_length_b 6.093
_cell_length_c 9.118
_cell_angle_alpha 90.00
_cell_angle_beta 90.00
_cell_angle_gamma 90.00
loop_
_atom_site_label
_atom_site_type_symbol
_atom_site_fract_x
_atom_site_fract_y
_atom_site_fract_z
Tl1 Tl 0.000 0.000 0.000
Si1 Si 0.000 0.000 0.500
As1 As 0.000 0.500 0.187
```

The energy above the most stable polymorph in this dataset comes out at 281 meV/atom. As for the density of states at the Fermi level: 0.568 states/eV per atom.

First-principles (PBE-GGA) data for TlSiAs2 after structural relaxation, as listed in the Alexandria database.

The structure in CIF format:
```
data_TlSiAs2
_chemical_formula_sum 'Tl2 Si2 As4'
_symmetry_space_group_name_H-M 'P -1'
_symmetry_Int_Tables_number 2
_cell_length_a 3.525
_cell_length_b 6.372
_cell_length_c 9.596
_cell_angle_alpha 77.20
_cell_angle_beta 81.09
_cell_angle_gamma 77.54
loop_
_symmetry_equiv_pos_as_xyz
'x,y,z'
'-x,-y,-z'
loop_
_atom_site_label
_atom_site_type_symbol
_atom_site_fract_x
_atom_site_fract_y
_atom_site_fract_z
Tl1 Tl 0.189 0.289 0.368
Si1 Si 0.012 0.127 0.843
As1 As 0.141 0.739 0.934
As2 As 0.468 0.748 0.319
```

The energy above the most stable polymorph in this dataset comes out at 0 meV/atom. As for the density of states at the Fermi level: 0.337 states/eV per atom.

First-principles (PBE-GGA) data for Tl2SiAs after structural relaxation, as listed in the Alexandria database.

The structure in CIF format:
```
data_Tl2SiAs
_chemical_formula_sum 'Tl2 Si1 As1'
_symmetry_space_group_name_H-M 'P m m m'
_symmetry_Int_Tables_number 47
_cell_length_a 3.275
_cell_length_b 4.603
_cell_length_c 6.506
_cell_angle_alpha 90.00
_cell_angle_beta 90.00
_cell_angle_gamma 90.00
loop_
_symmetry_equiv_pos_as_xyz
'x,y,z'
'-x,-y,-z'
'-x,-y,z'
'x,y,-z'
'x,-y,-z'
'-x,y,z'
'-x,y,-z'
'x,-y,z'
loop_
_atom_site_label
_atom_site_type_symbol
_atom_site_fract_x
_atom_site_fract_y
_atom_site_fract_z
Tl1 Tl 0.000 0.000 0.249
Si1 Si 0.500 0.500 0.000
As1 As 0.500 0.500 0.500
```

The energy above the most stable polymorph in this dataset comes out at 343 meV/atom. As for the density of states at the Fermi level: 0.698 states/eV per atom.

First-principles (PBE-GGA) data for TlSiAs2 after structural relaxation, as listed in the Alexandria database.

The structure in CIF format:
```
data_TlSiAs2
_chemical_formula_sum 'Tl2 Si2 As4'
_symmetry_space_group_name_H-M 'C 1 m 1'
_symmetry_Int_Tables_number 8
_cell_length_a 10.494
_cell_length_b 3.472
_cell_length_c 5.699
_cell_angle_alpha 90.00
_cell_angle_beta 105.57
_cell_angle_gamma 90.00
loop_
_symmetry_equiv_pos_as_xyz
'x,y,z'
'x,-y,z'
'x+1/2,y+1/2,z'
'x+1/2,-y+1/2,z'
loop_
_atom_site_label
_atom_site_type_symbol
_atom_site_fract_x
_atom_site_fract_y
_atom_site_fract_z
Tl1 Tl 0.000 0.000 0.000
Si1 Si 0.257 0.000 0.674
As1 As 0.072 0.500 0.520
As2 As 0.282 0.500 0.373
```

The energy above the most stable polymorph in this dataset comes out at 184 meV/atom. As for the density of states at the Fermi level: 0.256 states/eV per atom.

First-principles (PBE-GGA) data for TlSiAs2 after structural relaxation, as listed in the Alexandria database.

The structure in CIF format:
```
data_TlSiAs2
_chemical_formula_sum 'Tl1 Si1 As2'
_symmetry_space_group_name_H-M 'P m m m'
_symmetry_Int_Tables_number 47
_cell_length_a 3.606
_cell_length_b 3.636
_cell_length_c 7.022
_cell_angle_alpha 90.00
_cell_angle_beta 90.00
_cell_angle_gamma 90.00
loop_
_symmetry_equiv_pos_as_xyz
'x,y,z'
'-x,-y,-z'
'-x,-y,z'
'x,y,-z'
'x,-y,-z'
'-x,y,z'
'-x,y,-z'
'x,-y,z'
loop_
_atom_site_label
_atom_site_type_symbol
_atom_site_fract_x
_atom_site_fract_y
_atom_site_fract_z
Tl1 Tl 0.000 0.000 0.000
Si1 Si 0.000 0.000 0.500
As1 As 0.500 0.500 0.326
```

The energy above the most stable polymorph in this dataset comes out at 245 meV/atom. As for the density of states at the Fermi level: 0.589 states/eV per atom.

First-principles (PBE-GGA) data for TlSiAs3 after structural relaxation, as listed in the Alexandria database.

The structure in CIF format:
```
data_TlSiAs3
_chemical_formula_sum 'Tl1 Si1 As3'
_symmetry_space_group_name_H-M 'P m -3 m'
_symmetry_Int_Tables_number 221
_symmetry_space_group_name_Hall '-P 4 2 3'
_cell_length_a 4.905
_cell_length_b 4.905
_cell_length_c 4.905
_cell_angle_alpha 90.00
_cell_angle_beta 90.00
_cell_angle_gamma 90.00
loop_
_atom_site_label
_atom_site_type_symbol
_atom_site_fract_x
_atom_site_fract_y
_atom_site_fract_z
Tl1 Tl 0.000 0.000 0.000
Si1 Si 0.500 0.500 0.500
As1 As 0.000 0.500 0.500
```

The energy above the most stable polymorph in this dataset comes out at 0 meV/atom. As for the density of states at the Fermi level: 0.704 states/eV per atom.

First-principles (PBE-GGA) data for TlSiAs2 after structural relaxation, as listed in the Alexandria database.

The structure in CIF format:
```
data_TlSiAs2
_chemical_formula_sum 'Tl1 Si1 As2'
_symmetry_space_group_name_H-M 'P m m m'
_symmetry_Int_Tables_number 47
_cell_length_a 3.752
_cell_length_b 4.497
_cell_length_c 5.063
_cell_angle_alpha 90.00
_cell_angle_beta 90.00
_cell_angle_gamma 90.00
loop_
_symmetry_equiv_pos_as_xyz
'x,y,z'
'-x,-y,-z'
'-x,-y,z'
'x,y,-z'
'x,-y,-z'
'-x,y,z'
'-x,y,-z'
'x,-y,z'
loop_
_atom_site_label
_atom_site_type_symbol
_atom_site_fract_x
_atom_site_fract_y
_atom_site_fract_z
Tl1 Tl 0.000 0.000 0.000
Si1 Si 0.500 0.500 0.000
As1 As 0.000 0.500 0.500
As2 As 0.500 0.000 0.500
```

The energy above the most stable polymorph in this dataset comes out at 480 meV/atom. As for the density of states at the Fermi level: 0.403 states/eV per atom.

First-principles (PBE-GGA) data for Tl2SiAs after structural relaxation, as listed in the Alexandria database.

The structure in CIF format:
```
data_Tl2SiAs
_chemical_formula_sum 'Tl4 Si2 As2'
_symmetry_space_group_name_H-M 'I m m m'
_symmetry_Int_Tables_number 71
_symmetry_space_group_name_Hall '-I 2 2'
_cell_length_a 3.622
_cell_length_b 3.695
_cell_length_c 15.980
_cell_angle_alpha 90.00
_cell_angle_beta 90.00
_cell_angle_gamma 90.00
loop_
_atom_site_label
_atom_site_type_symbol
_atom_site_fract_x
_atom_site_fract_y
_atom_site_fract_z
Tl1 Tl 0.000 0.000 0.166
Si1 Si 0.000 0.500 0.500
As1 As 0.000 0.500 0.000
```

The energy above the most stable polymorph in this dataset comes out at 51 meV/atom. As for the density of states at the Fermi level: 0.612 states/eV per atom.

Total magnetic moment list, top to bottom, in μB/f.u.: 0.0; 0.0; 0.0; 0.0; 0.0; 0.0; 0.0; 0.0
Raw formation energy list, top to bottom, in meV/atom: 338; 57; 477; 241; 302; 468; 537; 185